Record 1
Density functional theory data (GGA-PBE) for an optimized crystal structure of IrOs2Pd.

a = 4.393 Å, b = 4.393 Å, c = 4.393 Å
α = 60.00°, β = 60.00°, γ = 60.00°
Each line ends with the local moment (μB).
Fractional coordinates of all 4 atoms:
1 Ir 0.500 0.500 0.500  0.24
2 Os 0.000 0.000 0.000  0.18
3 Os 0.250 0.250 0.250  0.99
4 Pd 0.750 0.750 0.750  0.07

## Properties
Calculated density, g/cm3: 18.8
Size of the total moment, μB/cell: 1.5
Space group: F-43m (216)
E_form, eV per atom: 0.6387

---

Record 2
Density functional theory data (GGA-PBE) for an optimized crystal structure of IrOsPd.

a = 4.195 Å, b = 4.195 Å, c = 4.195 Å
α = 60.00°, β = 60.00°, γ = 60.00°
Fractional coordinates of all 3 atoms:
1 Ir 0.000 0.000 0.000
2 Os 0.250 0.250 0.250
3 Pd 0.750 0.750 0.750

## Properties
Energy relative to the lowest polymorph listed for this composition, meV/atom: 0
Calculated density, g/cm3: 15.6
Size of the total moment, μB/cell: 0.0
Space group: F-43m (216)
E_form, eV per atom: 0.6958

---

Record 3
Density functional theory data (GGA-PBE) for an optimized crystal structure of PrIrOs.

a = 4.600 Å, b = 4.600 Å, c = 4.600 Å
α = 60.00°, β = 60.00°, γ = 60.00°
Fractional coordinates of all 3 atoms:
1 Ir 0.250 0.250 0.250
2 Os 0.750 0.750 0.750
3 Pr 0.000 0.000 0.000

## Properties
Calculated density, g/cm3: 12.6
Size of the total moment, μB/cell: 0.7
Space group: F-43m (216)
E_form, eV per atom: 1.3576

---

Record 4
Density functional theory data (GGA-PBE) for an optimized crystal structure of Ir2Os2Pt.

a = 3.721 Å, b = 3.721 Å, c = 6.454 Å
α = 106.75°, β = 106.75°, γ = 90.00°
Fractional coordinates of all 5 atoms:
1 Ir 0.750 0.250 0.500
2 Ir 0.250 0.750 0.500
3 Os 0.600 0.600 0.199
4 Os 0.400 0.400 0.801
5 Pt 0.000 0.000 0.000

## Properties
Energy relative to the lowest polymorph listed for this composition, meV/atom: 0
Calculated density, g/cm3: 19.5
Size of the total moment, μB/cell: 0.0
Space group: I4/mmm (139)
E_form, eV per atom: 0.5449

---

Record 5
Density functional theory data (GGA-PBE) for an optimized crystal structure of Ir2OsPt2.

a = 3.620 Å, b = 3.620 Å, c = 6.827 Å
α = 105.37°, β = 105.37°, γ = 90.00°
Fractional coordinates of all 5 atoms:
1 Ir 0.596 0.596 0.191
2 Ir 0.404 0.404 0.809
3 Os 0.000 0.000 0.000
4 Pt 0.750 0.250 0.500
5 Pt 0.250 0.750 0.500

## Properties
Energy relative to the lowest polymorph listed for this composition, meV/atom: 0
Calculated density, g/cm3: 19.3
Size of the total moment, μB/cell: 1.6
Space group: I4/mmm (139)
E_form, eV per atom: 0.7144

---

Record 6
Density functional theory data (GGA-PBE) for an optimized crystal structure of PuIrOs.

a = 4.368 Å, b = 4.368 Å, c = 4.368 Å
α = 60.00°, β = 60.00°, γ = 60.00°
Fractional coordinates of all 3 atoms:
1 Ir 0.250 0.250 0.250
2 Os 0.000 0.000 0.000
3 Pu 0.750 0.750 0.750

## Properties
Energy relative to the lowest polymorph listed for this composition, meV/atom: 310
Calculated density, g/cm3: 17.7
Size of the total moment, μB/cell: 0.0
Space group: F-43m (216)
E_form, eV per atom: 0.7309

---

Record 7
Density functional theory data (GGA-PBE) for an optimized crystal structure of PuIrOs.

a = 4.378 Å, b = 4.378 Å, c = 4.378 Å
α = 60.00°, β = 60.00°, γ = 60.00°
Each line ends with the local moment (μB).
Fractional coordinates of all 3 atoms:
1 Ir 0.750 0.750 0.750  -0.27
2 Os 0.250 0.250 0.250  -0.62
3 Pu 0.000 0.000 0.000  4.12

## Properties
Energy relative to the lowest polymorph listed for this composition, meV/atom: 0
Calculated density, g/cm3: 17.5
Size of the total moment, μB/cell: 3.2
Space group: F-43m (216)
E_form, eV per atom: 0.4213

---

Record 8
Density functional theory data (GGA-PBE) for an optimized crystal structure of Re2Ir5Os.

a = 4.389 Å, b = 5.530 Å, c = 5.530 Å
α = 59.76°, β = 90.00°, γ = 90.00°
Fractional coordinates of all 8 atoms:
1 Ir 0.500 0.666 0.167
2 Ir 0.500 0.169 0.169
3 Ir 0.000 0.831 0.335
4 Ir 0.500 0.167 0.666
5 Ir 0.000 0.335 0.831
6 Os 0.000 0.833 0.833
7 Re 0.000 0.332 0.332
8 Re 0.500 0.668 0.668

## Properties
Calculated density, g/cm3: 21.8
Size of the total moment, μB/cell: 0.0
Space group: Amm2 (38)
E_form, eV per atom: -0.1471

---

Record 9
Density functional theory data (GGA-PBE) for an optimized crystal structure of Re2Ir3Os3.

a = 5.497 Å, b = 4.377 Å, c = 5.520 Å
α = 90.00°, β = 119.72°, γ = 90.00°
Fractional coordinates of all 8 atoms:
1 Ir 0.832 0.500 0.167
2 Ir 0.167 0.000 0.832
3 Ir 0.666 0.000 0.833
4 Os 0.335 0.500 0.169
5 Os 0.169 0.000 0.336
6 Os 0.832 0.500 0.664
7 Re 0.667 0.000 0.336
8 Re 0.333 0.500 0.663

## Properties
Calculated density, g/cm3: 21.9
Size of the total moment, μB/cell: 0.0
Space group: Pm (6)
E_form, eV per atom: -0.1527

---

Record 10
Density functional theory data (GGA-PBE) for an optimized crystal structure of Re2IrOs.

a = 2.761 Å, b = 4.383 Å, c = 4.797 Å
α = 90.00°, β = 90.00°, γ = 90.00°
Fractional coordinates of all 4 atoms:
1 Ir 0.000 0.500 0.329
2 Os 0.000 0.000 0.669
3 Re 0.500 0.000 0.166
4 Re 0.500 0.500 0.836

## Properties
Calculated density, g/cm3: 21.6
Size of the total moment, μB/cell: 0.0
Space group: Pmm2 (25)
E_form, eV per atom: -0.1979

---

Record 11
Density functional theory data (GGA-PBE) for an optimized crystal structure of ReIrOs6.

a = 5.512 Å, b = 5.512 Å, c = 4.352 Å
α = 90.00°, β = 90.00°, γ = 120.00°
Fractional coordinates of all 8 atoms:
1 Ir 0.000 0.000 0.500
2 Os 0.331 0.165 0.000
3 Os 0.835 0.165 0.000
4 Os 0.835 0.669 0.000
5 Os 0.502 0.003 0.500
6 Os 0.997 0.498 0.500
7 Os 0.502 0.498 0.500
8 Re 0.333 0.667 0.000

## Properties
Calculated density, g/cm3: 22.0
Size of the total moment, μB/cell: 0.0
Space group: P-6m2 (187)
E_form, eV per atom: -0.0466

---

Record 12
Density functional theory data (GGA-PBE) for an optimized crystal structure of IrOsS4.

a = 5.346 Å, b = 5.346 Å, c = 3.708 Å
α = 90.00°, β = 90.00°, γ = 90.36°
Fractional coordinates of all 6 atoms:
1 Ir 0.000 0.000 0.000
2 Os 0.500 0.500 0.500
3 S 0.690 0.310 0.000
4 S 0.310 0.690 0.000
5 S 0.193 0.193 0.500
6 S 0.807 0.807 0.500

## Properties
DFT total energy, eV per atom: -6.279
Calculated density, g/cm3: 8.0
Size of the total moment, μB/cell: 0.0
Space group: Cmmm (65)

---

Record 13
Density functional theory data (GGA-PBE) for an optimized crystal structure of ScIrOs.

a = 4.305 Å, b = 4.305 Å, c = 4.305 Å
α = 60.00°, β = 60.00°, γ = 60.00°
Fractional coordinates of all 3 atoms:
1 Ir 0.000 0.000 0.000
2 Os 0.250 0.250 0.250
3 Sc 0.750 0.750 0.750

## Properties
Energy relative to the lowest polymorph listed for this composition, meV/atom: 0
Calculated density, g/cm3: 12.6
Size of the total moment, μB/cell: 0.0
Space group: F-43m (216)
E_form, eV per atom: 0.0781

---

Record 14
Density functional theory data (GGA-PBE) for an optimized crystal structure of Sc2IrOs.

a = 4.539 Å, b = 4.539 Å, c = 4.539 Å
α = 60.00°, β = 60.00°, γ = 60.00°
Fractional coordinates of all 4 atoms:
1 Ir 0.500 0.500 0.500
2 Os 0.750 0.750 0.750
3 Sc 0.000 0.000 0.000
4 Sc 0.250 0.250 0.250

## Properties
Calculated density, g/cm3: 11.9
Size of the total moment, μB/cell: 0.0
Space group: F-43m (216)
E_form, eV per atom: -0.2343

---

Record 15
Density functional theory data (GGA-PBE) for an optimized crystal structure of Sc2Ir3Os.

a = 5.241 Å, b = 5.241 Å, c = 8.455 Å
α = 90.00°, β = 90.00°, γ = 120.00°
Fractional coordinates of all 12 atoms:
1 Ir 0.341 0.170 0.250
2 Ir 0.830 0.170 0.250
3 Ir 0.830 0.659 0.250
4 Ir 0.170 0.341 0.750
5 Ir 0.170 0.830 0.750
6 Ir 0.659 0.830 0.750
7 Os 0.000 0.000 0.000
8 Os 0.000 0.000 0.500
9 Sc 0.333 0.667 0.066
10 Sc 0.333 0.667 0.434
11 Sc 0.667 0.333 0.566
12 Sc 0.667 0.333 0.934

## Properties
Calculated density, g/cm3: 14.1
Size of the total moment, μB/cell: 0.0
Space group: P6_3/mmc (194)
E_form, eV per atom: -0.6921

---

Record 16
Density functional theory data (GGA-PBE) for an optimized crystal structure of IrOsSe4.

a = 5.643 Å, b = 5.643 Å, c = 3.939 Å
α = 90.00°, β = 90.00°, γ = 90.04°
Fractional coordinates of all 6 atoms:
1 Ir 0.500 0.500 0.000
2 Os 0.000 0.000 0.500
3 Se 0.190 0.190 0.000
4 Se 0.810 0.810 0.000
5 Se 0.693 0.307 0.500
6 Se 0.307 0.693 0.500

## Properties
DFT total energy, eV per atom: -5.685
Calculated density, g/cm3: 9.2
Size of the total moment, μB/cell: 0.0
Space group: Cmmm (65)

---

Record 17
Density functional theory data (GGA-PBE) for an optimized crystal structure of Si2IrOs.

a = 4.328 Å, b = 4.328 Å, c = 4.328 Å
α = 60.00°, β = 60.00°, γ = 60.00°
Fractional coordinates of all 4 atoms:
1 Ir 0.500 0.500 0.500
2 Os 0.750 0.750 0.750
3 Si 0.000 0.000 0.000
4 Si 0.250 0.250 0.250

## Properties
DFT total energy, eV per atom: -7.360
Calculated density, g/cm3: 12.7
Size of the total moment, μB/cell: 0.0
Space group: F-43m (216)

---

Record 18
Density functional theory data (GGA-PBE) for an optimized crystal structure of SrSi2IrOs.

a = 5.947 Å, b = 5.947 Å, c = 5.947 Å
α = 138.62°, β = 138.62°, γ = 59.95°
Fractional coordinates of all 5 atoms:
1 Ir 0.000 0.000 0.000
2 Os 0.500 0.500 0.000
3 Si 0.614 0.114 0.500
4 Si 0.886 0.386 0.500
5 Sr 0.250 0.750 0.500

## Properties
DFT total energy, eV per atom: -7.209
Calculated density, g/cm3: 9.6
Size of the total moment, μB/cell: 0.0
Space group: I-4m2 (119)

---

Record 19
Density functional theory data (GGA-PBE) for an optimized crystal structure of TbSi2IrOs.

a = 5.698 Å, b = 5.698 Å, c = 5.698 Å
α = 137.34°, β = 137.34°, γ = 61.92°
Fractional coordinates of all 5 atoms:
1 Ir 0.000 0.000 0.000
2 Os 0.500 0.500 0.000
3 Si 0.624 0.124 0.500
4 Si 0.876 0.376 0.500
5 Tb 0.250 0.750 0.500

## Properties
DFT total energy, eV per atom: -8.044
Calculated density, g/cm3: 11.8
Size of the total moment, μB/cell: 0.0
Space group: I-4m2 (119)

---

Record 20
Density functional theory data (GGA-PBE) for an optimized crystal structure of SmIrOs.

a = 4.530 Å, b = 4.530 Å, c = 4.530 Å
α = 60.00°, β = 60.00°, γ = 60.00°
Fractional coordinates of all 3 atoms:
1 Ir 0.250 0.250 0.250
2 Os 0.750 0.750 0.750
3 Sm 0.000 0.000 0.000

## Properties
Calculated density, g/cm3: 13.5
Size of the total moment, μB/cell: 0.2
Space group: F-43m (216)
E_form, eV per atom: 1.2112

---

Record 21
Density functional theory data (GGA-PBE) for an optimized crystal structure of SrIrOs2.

a = 4.627 Å, b = 4.627 Å, c = 4.627 Å
α = 60.00°, β = 60.00°, γ = 60.00°
Each line ends with the local moment (μB).
Fractional coordinates of all 4 atoms:
1 Ir 0.250 0.250 0.250  0.37
2 Os 0.000 0.000 0.000  0.64
3 Os 0.750 0.750 0.750  0.31
4 Sr 0.500 0.500 0.500  0.00

## Properties
DFT total energy, eV per atom: -7.163
Calculated density, g/cm3: 15.7
Size of the total moment, μB/cell: 1.4
Space group: F-43m (216)

---

Record 22
Density functional theory data (GGA-PBE) for an optimized crystal structure of TaIrOs2.

a = 4.446 Å, b = 4.446 Å, c = 4.446 Å
α = 60.00°, β = 60.00°, γ = 60.00°
Each line ends with the local moment (μB).
Fractional coordinates of all 4 atoms:
1 Ir 0.500 0.500 0.500  0.23
2 Os 0.000 0.000 0.000  0.09
3 Os 0.250 0.250 0.250  0.33
4 Ta 0.750 0.750 0.750  0.02

## Properties
Calculated density, g/cm3: 20.1
Size of the total moment, μB/cell: 0.7
Space group: F-43m (216)
E_form, eV per atom: 0.2907

---

Record 23
Density functional theory data (GGA-PBE) for an optimized crystal structure of Ta2IrOs.

a = 4.501 Å, b = 4.501 Å, c = 4.501 Å
α = 60.00°, β = 60.00°, γ = 60.00°
Each line ends with the local moment (μB).
Fractional coordinates of all 4 atoms:
1 Ir 0.500 0.500 0.500  0.39
2 Os 0.750 0.750 0.750  0.46
3 Ta 0.000 0.000 0.000  -0.03
4 Ta 0.250 0.250 0.250  0.00

## Properties
Calculated density, g/cm3: 19.2
Size of the total moment, μB/cell: 0.8
Space group: F-43m (216)
E_form, eV per atom: -0.0626

---

Record 24
Density functional theory data (GGA-PBE) for an optimized crystal structure of Ta6IrOs.

a = 5.164 Å, b = 5.164 Å, c = 5.164 Å
α = 90.00°, β = 90.00°, γ = 90.00°
Fractional coordinates of all 8 atoms:
1 Ir 0.500 0.500 0.500
2 Os 0.000 0.000 0.000
3 Ta 0.500 0.250 0.000
4 Ta 0.500 0.750 0.000
5 Ta 0.000 0.500 0.250
6 Ta 0.250 0.000 0.500
7 Ta 0.750 0.000 0.500
8 Ta 0.000 0.500 0.750

## Properties
Calculated density, g/cm3: 17.7
Size of the total moment, μB/cell: 0.0
Space group: Pm-3 (200)
E_form, eV per atom: -0.4094

---

Record 25
Density functional theory data (GGA-PBE) for an optimized crystal structure of YTa2IrOs.

a = 6.165 Å, b = 6.165 Å, c = 6.165 Å
α = 138.19°, β = 138.19°, γ = 60.60°
Fractional coordinates of all 5 atoms:
1 Ir 0.380 0.380 0.000
2 Os 0.621 0.621 0.000
3 Ta 0.750 0.250 0.500
4 Ta 0.250 0.750 0.500
5 Y 0.000 0.000 0.000

## Properties
Calculated density, g/cm3: 13.4
Size of the total moment, μB/cell: 0.0
Space group: I4mm (107)
E_form, eV per atom: -0.4899

---

Record 26
Density functional theory data (GGA-PBE) for an optimized crystal structure of TbIrOs.

a = 8.917 Å, b = 5.296 Å, c = 5.296 Å
α = 60.59°, β = 90.00°, γ = 90.00°
Fractional coordinates of all 12 atoms:
1 Ir 0.000 0.834 0.342
2 Ir 0.000 0.342 0.834
3 Ir 0.249 0.997 0.997
4 Ir 0.751 0.997 0.997
5 Os 0.500 0.660 0.170
6 Os 0.500 0.174 0.174
7 Os 0.500 0.170 0.660
8 Os 0.000 0.830 0.830
9 Tb 0.181 0.333 0.333
10 Tb 0.819 0.333 0.333
11 Tb 0.316 0.666 0.666
12 Tb 0.684 0.666 0.666

## Properties
Calculated density, g/cm3: 16.5
Size of the total moment, μB/cell: 0.0
Space group: Amm2 (38)
E_form, eV per atom: -0.5492

---

Record 27
Density functional theory data (GGA-PBE) for an optimized crystal structure of TcIrOs6.

a = 5.506 Å, b = 5.506 Å, c = 4.349 Å
α = 90.00°, β = 90.00°, γ = 120.00°
Fractional coordinates of all 8 atoms:
1 Ir 0.000 0.000 0.000
2 Os 0.501 0.003 0.000
3 Os 0.997 0.499 0.000
4 Os 0.501 0.499 0.000
5 Os 0.332 0.166 0.500
6 Os 0.834 0.166 0.500
7 Os 0.834 0.668 0.500
8 Tc 0.333 0.667 0.500

## Properties
Calculated density, g/cm3: 20.8
Size of the total moment, μB/cell: 0.0
Space group: P-6m2 (187)
E_form, eV per atom: -0.0458

---

Record 28
Density functional theory data (GGA-PBE) for an optimized crystal structure of TeIr2Os4.

a = 3.931 Å, b = 3.931 Å, c = 7.415 Å
α = 90.00°, β = 90.00°, γ = 90.00°
Fractional coordinates of all 7 atoms:
1 Ir 0.000 0.000 0.000
2 Ir 0.500 0.500 0.500
3 Os 0.500 0.000 0.271
4 Os 0.000 0.500 0.271
5 Os 0.500 0.000 0.729
6 Os 0.000 0.500 0.729
7 Te 0.500 0.500 0.000

## Properties
DFT total energy, eV per atom: -8.588
Calculated density, g/cm3: 18.4
Size of the total moment, μB/cell: 0.0
Space group: P4/mmm (123)